[1]
DFT (GGA-PBE) results for a relaxed AcCe2Ge crystal.

a = 5.4283 Å, b = 5.4283 Å, c = 5.4283 Å
α = 60.00°, β = 60.00°, γ = 60.00°
Element x y z (fractional)
Ce1 0.7500 0.7500 0.7500
Ce2 0.2500 0.2500 0.2500
Ac1 0.0000 0.0000 0.0000
Ge1 0.5000 0.5000 0.5000

Properties
The calculation puts the total magnetization at 2.19 μB/f.u. For the density of states at the Fermi level, the calculation gives 12.56 states/eV per cell. The value obtained for the calculated formation energy is 12 meV per atom. As for the excess energy over the best structure of this formula in the dataset: 1.33 eV/f.u. The value obtained for the volume is 113.1 Å³/cell.

[2]
DFT (GGA-PBE) results for a relaxed AcNiGe2Ir crystal.

a = 4.2952 Å, b = 4.2952 Å, c = 6.1308 Å
α = 110.51°, β = 110.51°, γ = 90.00°
Element x y z (fractional)
Ir1 0.7500 0.2500 0.5000
Ac1 0.0000 0.0000 0.0000
Ge1 0.3638 0.3638 0.7276
Ge2 0.6362 0.6362 0.2724
Ni1 0.2500 0.7500 0.5000

Properties
The calculation puts the total magnetization at 0.00 μB/f.u. For the density of states at the Fermi level, the calculation gives 3.56 states/eV per cell. The value obtained for the calculated formation energy is -633 meV per atom. The value obtained for the volume is 98.2 Å³/cell.